Record 1
The following is a DFT calculation (PBE) of a relaxed Cs11Au2Br crystal.

Cell lengths 14.8072, 14.8072, 14.8072 Å; angles 122.69, 104.68, 101.92 degrees
Fractional positions:
Cs1 0.0000 0.0000 0.0000
Cs2 0.0355 0.4505 0.7776
Cs3 0.0669 0.8691 0.6639
Cs4 0.1730 0.9505 0.4150
Cs5 0.2052 0.4030 0.3361
Cs6 0.2133 0.8623 0.0756
Cs7 0.2867 0.3623 0.6490
Cs8 0.2948 0.6309 0.1978
Cs9 0.3270 0.7420 0.7776
Cs10 0.4331 0.0970 0.8022
Cs11 0.4645 0.2420 0.4150
Cs12 0.5000 0.5000 0.0000
Cs13 0.5355 0.7580 0.5850
Cs14 0.5669 0.9030 0.1978
Cs15 0.6730 0.2580 0.2224
Cs16 0.7052 0.3691 0.8022
Cs17 0.7133 0.6377 0.3510
Cs18 0.7867 0.1377 0.9244
Cs19 0.7948 0.5970 0.6639
Cs20 0.8270 0.0495 0.5850
Cs21 0.9331 0.1309 0.3361
Cs22 0.9645 0.5495 0.2224
Au1 0.1813 0.1335 0.3148
Au2 0.3187 0.6335 0.9522
Au3 0.6813 0.3665 0.0478
Au4 0.8187 0.8665 0.6852
Br1 0.2500 0.7500 0.5000
Br2 0.7500 0.2500 0.5000

Properties
calculated total energy	-1.53	eV per atom
SG	Ibam, No. 72
E_form (uncorrected)	-0.27	eV per atom

Record 2
The following is a DFT calculation (PBE) of a relaxed CsAu2Br7 crystal.

Cell lengths 10.5790, 10.5790, 4.7651 Å; angles 90.00, 90.00, 134.50 degrees
Fractional positions:
Cs1 0.0000 0.0000 0.0000
Au1 0.3609 0.6391 0.5000
Au2 0.6391 0.3609 0.5000
Br1 0.0576 0.3345 0.5000
Br2 0.3052 0.6948 0.0000
Br3 0.3345 0.0576 0.5000
Br4 0.5000 0.5000 0.5000
Br5 0.6655 0.9424 0.5000
Br6 0.6948 0.3052 0.0000
Br7 0.9424 0.6655 0.5000

Properties
calculated total energy	-2.28	eV per atom
SG	Cmmm, No. 65
E_form (uncorrected)	-0.37	eV per atom

Record 3
The following is a DFT calculation (PBE) of a relaxed Cs4Au2Br crystal.

Cell lengths 17.6911, 17.6911, 17.6911 Å; angles 16.99, 16.99, 16.99 degrees
Fractional positions:
Cs1 0.1212 0.1212 0.1212
Cs2 0.2929 0.2929 0.2929
Cs3 0.7071 0.7071 0.7071
Cs4 0.8788 0.8788 0.8788
Au1 0.4160 0.4160 0.4160
Au2 0.5840 0.5840 0.5840
Br1 0.0000 0.0000 0.0000

Properties
polymorph energy (0 for the lowest one)	0	meV per atom
calculated total energy	-2.36	eV per atom
SG	R-3m, No. 166
E_form (uncorrected)	-0.69	eV per atom

Record 4
The following is a DFT calculation (PBE) of a relaxed Cs3Au2Br8 crystal.

Cell lengths 11.7399, 11.7399, 11.7399 Å; angles 36.63, 36.63, 36.63 degrees
Fractional positions:
Cs1 0.0000 0.0000 0.0000
Cs2 0.2082 0.2082 0.2082
Cs3 0.7918 0.7918 0.7918
Au1 0.3966 0.3966 0.3966
Au2 0.6034 0.6034 0.6034
Br1 0.2094 0.7416 0.7416
Br2 0.2584 0.2584 0.7906
Br3 0.2584 0.7906 0.2584
Br4 0.3199 0.3199 0.3199
Br5 0.6801 0.6801 0.6801
Br6 0.7416 0.2094 0.7416
Br7 0.7416 0.7416 0.2094
Br8 0.7906 0.2584 0.2584

Properties
calculated total energy	-2.53	eV per atom
SG	R-3m, No. 166
E_form (uncorrected)	-0.80	eV per atom

Record 5
The following is a DFT calculation (PBE) of a relaxed Cs3AuBr crystal.

Cell lengths 6.8925, 6.8925, 6.8925 Å; angles 90.00, 90.00, 90.00 degrees
Fractional positions:
Cs1 0.0000 0.0000 0.5000
Cs2 0.0000 0.5000 0.0000
Cs3 0.5000 0.0000 0.0000
Au1 0.5000 0.5000 0.5000
Br1 0.0000 0.0000 0.0000

Properties
polymorph energy (0 for the lowest one)	189	meV per atom
calculated total energy	-2.14	eV per atom
SG	Pm-3m, No. 221
E_form (uncorrected)	-0.64	eV per atom

Record 6
The following is a DFT calculation (PBE) of a relaxed Cs12Au5Br2 crystal.

Cell lengths 10.6834, 10.6834, 13.4183 Å; angles 107.16, 107.16, 56.04 degrees
Fractional positions:
Cs1 0.0313 0.0313 0.3235
Cs2 0.0521 0.5566 0.3492
Cs3 0.1177 0.6104 0.9896
Cs4 0.3896 0.8823 0.0104
Cs5 0.4434 0.9479 0.6508
Cs6 0.4484 0.4484 0.6804
Cs7 0.5516 0.5516 0.3196
Cs8 0.5566 0.0521 0.3492
Cs9 0.6104 0.1177 0.9896
Cs10 0.8823 0.3896 0.0104
Cs11 0.9479 0.4434 0.6508
Cs12 0.9687 0.9687 0.6765
Au1 0.2014 0.2014 0.8561
Au2 0.2436 0.2436 0.4952
Au3 0.5000 0.5000 0.0000
Au4 0.7564 0.7564 0.5048
Au5 0.7986 0.7986 0.1439
Br1 0.2597 0.7403 0.5000
Br2 0.7403 0.2597 0.5000

Properties
calculated total energy	-2.09	eV per atom
SG	C2/m, No. 12
E_form (uncorrected)	-0.52	eV per atom

Record 7
The following is a DFT calculation (PBE) of a relaxed CsCuAuBr6 crystal.

Cell lengths 6.2797, 6.8543, 9.4168 Å; angles 89.13, 82.30, 72.22 degrees
Fractional positions:
Cs1 0.0000 0.0000 0.0000
Cu1 0.5700 0.6767 0.2927
Au1 0.4893 0.3854 0.6128
Br1 0.1912 0.4461 0.8211
Br2 0.3031 0.7263 0.5162
Br3 0.4140 0.0236 0.2366
Br4 0.6798 0.0405 0.6922
Br5 0.7510 0.5693 0.0566
Br6 0.7826 0.3578 0.3968

Properties
calculated total energy	-2.60	eV per atom
SG	P1, No. 1
E_form (uncorrected)	-0.57	eV per atom

Record 8
The following is a DFT calculation (PBE) of a relaxed Cs3Cu2AuBr6 crystal.

Cell lengths 7.9751, 7.9751, 9.4368 Å; angles 90.00, 90.00, 120.00 degrees
Fractional positions:
Cs1 0.0000 0.0000 0.0000
Cs2 0.3333 0.6667 0.6544
Cs3 0.6667 0.3333 0.3456
Cu1 0.3333 0.6667 0.2860
Cu2 0.6667 0.3333 0.7140
Au1 0.0000 0.0000 0.5000
Br1 0.1628 0.3256 0.2995
Br2 0.1628 0.8372 0.2995
Br3 0.3256 0.1628 0.7005
Br4 0.6744 0.8372 0.2995
Br5 0.8372 0.1628 0.7005
Br6 0.8372 0.6744 0.7005

Properties
calculated total energy	-2.92	eV per atom
SG	P-3m1, No. 164
E_form (uncorrected)	-0.91	eV per atom

Q: The highest E_form (uncorrected) belongs to which entry?
A: Cs11Au2Br

Q: Look up the calculated total energy of the second one.
A: -2.28 eV per atom

Please write out number 6 again, unchanged.
The following is a DFT calculation (PBE) of a relaxed Cs12Au5Br2 crystal.

Cell lengths 10.6834, 10.6834, 13.4183 Å; angles 107.16, 107.16, 56.04 degrees
Fractional positions:
Cs1 0.0313 0.0313 0.3235
Cs2 0.0521 0.5566 0.3492
Cs3 0.1177 0.6104 0.9896
Cs4 0.3896 0.8823 0.0104
Cs5 0.4434 0.9479 0.6508
Cs6 0.4484 0.4484 0.6804
Cs7 0.5516 0.5516 0.3196
Cs8 0.5566 0.0521 0.3492
Cs9 0.6104 0.1177 0.9896
Cs10 0.8823 0.3896 0.0104
Cs11 0.9479 0.4434 0.6508
Cs12 0.9687 0.9687 0.6765
Au1 0.2014 0.2014 0.8561
Au2 0.2436 0.2436 0.4952
Au3 0.5000 0.5000 0.0000
Au4 0.7564 0.7564 0.5048
Au5 0.7986 0.7986 0.1439
Br1 0.2597 0.7403 0.5000
Br2 0.7403 0.2597 0.5000

Properties
calculated total energy	-2.09	eV per atom
SG	C2/m, No. 12
E_form (uncorrected)	-0.52	eV per atom

Q: What is the E_form (uncorrected) in the seventh record?
A: -0.57 eV per atom